No. 1
A plane-wave DFT calculation with PBE was carried out for a geometry-optimized NaTa3Ti structure.

```
data_NaTa3Ti
_symmetry_space_group_name_H-M 'P m -3 m'
_symmetry_Int_Tables_number 221
_symmetry_space_group_name_Hall '-P 4 2 3'
_cell_length_a 4.813
_cell_length_b 4.813
_cell_length_c 4.813
_cell_angle_alpha 90.00
_cell_angle_beta 90.00
_cell_angle_gamma 90.00
loop_
_atom_site_label
_atom_site_fract_x
_atom_site_fract_y
_atom_site_fract_z
Na1 0.000 0.000 0.000
Ta1 0.000 0.500 0.500
Ti1 0.500 0.500 0.500
```

* V: 111.46 Å³/cell
* calculated density: 9.1 g cm⁻³
* total DFT energy (no corrections): -7.40 eV/atom
* energy relative to the lowest polymorph listed for this composition: 0.0000 eV/atom



No. 2
A plane-wave DFT calculation with PBE was carried out for a geometry-optimized CsBeTe2 structure.

```
data_CsBeTe2
_symmetry_space_group_name_H-M 'I -4 2 d'
_symmetry_Int_Tables_number 122
_symmetry_space_group_name_Hall 'I -4 2bw'
_cell_length_a 6.703
_cell_length_b 6.703
_cell_length_c 14.031
_cell_angle_alpha 90.00
_cell_angle_beta 90.00
_cell_angle_gamma 90.00
loop_
_atom_site_label
_atom_site_fract_x
_atom_site_fract_y
_atom_site_fract_z
Cs1 0.000 0.000 0.000
Be1 0.000 0.000 0.500
Te1 0.003 0.250 0.625
```

* ΔE_f (raw): -0.449 eV per atom
* V: 630.37 Å³/cell
* calculated density: 4.2 g cm⁻³
* total DFT energy (no corrections): -3.17 eV/atom
* energy relative to the lowest polymorph listed for this composition: 0.0000 eV/atom



No. 3
A plane-wave DFT calculation with PBE was carried out for a geometry-optimized U4C3N structure.

```
data_U4C3N
_symmetry_space_group_name_H-M 'P m -3 m'
_symmetry_Int_Tables_number 221
_symmetry_space_group_name_Hall '-P 4 2 3'
_cell_length_a 4.924
_cell_length_b 4.924
_cell_length_c 4.924
_cell_angle_alpha 90.00
_cell_angle_beta 90.00
_cell_angle_gamma 90.00
loop_
_atom_site_label
_atom_site_fract_x
_atom_site_fract_y
_atom_site_fract_z
U1 0.000 0.000 0.000
U2 0.000 0.500 0.500
C1 0.000 0.000 0.500
N1 0.500 0.500 0.500
```

* ΔE_f (raw): -0.426 eV per atom
* V: 119.37 Å³/cell
* calculated density: 13.9 g cm⁻³
* total DFT energy (no corrections): -10.57 eV/atom



The lowest calculated density belongs to which entry? CsBeTe2



Look up the calculated density of the second one. 4.2 g cm⁻³



Number 3 is which compound? U4C3N